# 1
Entry from OQMD: a relaxed LuBeIr2 crystal (PBE).

calculated total energy = -105.68 eV per cell
calculated density = 15.0 g cm⁻³

Geometry as POSCAR:
```
LuBeIr2
1.0
6.319 0.000 0.000
0.000 6.319 0.000
0.000 0.000 6.319
Lu Be Ir
4 4 8
Cartesian
0.000 0.000 0.000
0.000 3.159 3.159
3.159 0.000 3.159
3.159 3.159 0.000
1.580 1.580 4.739
1.580 4.739 1.580
4.739 1.580 1.580
4.739 4.739 4.739
0.000 0.000 3.159
0.000 3.159 0.000
1.580 1.580 1.580
1.580 4.739 4.739
3.159 0.000 0.000
3.159 3.159 3.159
4.739 1.580 4.739
4.739 4.739 1.580
```

***

# 2
Entry from OQMD: a relaxed LuBeIr crystal (PBE).

calculated total energy = -71.64 eV per cell
relative energy among the computed polymorphs = 0 meV/atom
calculated density = 10.9 g cm⁻³

Geometry as POSCAR:
```
LuBeIr
1.0
6.130 0.000 0.000
0.000 6.130 0.000
0.000 0.000 6.130
Lu Be Ir
4 4 4
Cartesian
0.000 0.000 0.000
0.000 3.065 3.065
3.065 0.000 3.065
3.065 3.065 0.000
0.000 0.000 3.065
0.000 3.065 0.000
3.065 0.000 0.000
3.065 3.065 3.065
1.532 1.532 4.597
1.532 4.597 1.532
4.597 1.532 1.532
4.597 4.597 4.597
```

***

# 3
Entry from OQMD: a relaxed LuBeIrPb crystal (PBE).

calculated total energy = -83.16 eV per cell
relative energy among the computed polymorphs = 30 meV/atom
calculated density = 13.5 g cm⁻³

Geometry as POSCAR:
```
LuBeIrPb
1.0
6.601 0.000 0.000
0.000 6.601 0.000
0.000 0.000 6.601
Lu Be Ir Pb
4 4 4 4
Cartesian
0.000 0.000 0.000
0.000 3.301 3.301
3.301 0.000 3.301
3.301 3.301 0.000
1.650 1.650 1.650
1.650 4.951 4.951
4.951 1.650 4.951
4.951 4.951 1.650
0.000 0.000 3.301
0.000 3.301 0.000
3.301 0.000 0.000
3.301 3.301 3.301
1.650 1.650 4.951
1.650 4.951 1.650
4.951 1.650 1.650
4.951 4.951 4.951
```

***

# 4
Entry from OQMD: a relaxed LuBeIrPb crystal (PBE).

calculated total energy = -83.64 eV per cell
relative energy among the computed polymorphs = 0 meV/atom
calculated density = 13.1 g cm⁻³

Geometry as POSCAR:
```
LuBeIrPb
1.0
6.655 0.000 0.000
0.000 6.655 0.000
0.000 0.000 6.655
Lu Be Ir Pb
4 4 4 4
Cartesian
0.000 0.000 0.000
0.000 3.327 3.327
3.327 0.000 3.327
3.327 3.327 0.000
1.664 1.664 1.664
1.664 4.991 4.991
4.991 1.664 4.991
4.991 4.991 1.664
1.664 1.664 4.991
1.664 4.991 1.664
4.991 1.664 1.664
4.991 4.991 4.991
0.000 0.000 3.327
0.000 3.327 0.000
3.327 0.000 0.000
3.327 3.327 3.327
```

***

# 5
Entry from OQMD: a relaxed LuBeIrPb crystal (PBE).

calculated total energy = -82.22 eV per cell
relative energy among the computed polymorphs = 89 meV/atom
calculated density = 13.0 g cm⁻³

Geometry as POSCAR:
```
LuBeIrPb
1.0
6.687 0.000 0.000
0.000 6.687 0.000
0.000 0.000 6.687
Lu Be Ir Pb
4 4 4 4
Cartesian
0.000 0.000 0.000
0.000 3.344 3.344
3.344 0.000 3.344
3.344 3.344 0.000
0.000 0.000 3.344
0.000 3.344 0.000
3.344 0.000 0.000
3.344 3.344 3.344
1.672 1.672 1.672
1.672 5.015 5.015
5.015 1.672 5.015
5.015 5.015 1.672
1.672 1.672 5.015
1.672 5.015 1.672
5.015 1.672 1.672
5.015 5.015 5.015
```

***

# 6
Entry from OQMD: a relaxed LuBeSiIr crystal (PBE).

calculated total energy = -95.42 eV per cell
relative energy among the computed polymorphs = 144 meV/atom
calculated density = 11.2 g cm⁻³

Geometry as POSCAR:
```
LuBeSiIr
1.0
6.212 0.000 0.000
0.000 6.212 0.000
0.000 0.000 6.212
Lu Be Si Ir
4 4 4 4
Cartesian
0.000 0.000 0.000
0.000 3.106 3.106
3.106 0.000 3.106
3.106 3.106 0.000
1.553 1.553 4.659
1.553 4.659 1.553
4.659 1.553 1.553
4.659 4.659 4.659
0.000 0.000 3.106
0.000 3.106 0.000
3.106 0.000 0.000
3.106 3.106 3.106
1.553 1.553 1.553
1.553 4.659 4.659
4.659 1.553 4.659
4.659 4.659 1.553
```

***

# 7
Entry from OQMD: a relaxed LuBeSiIr crystal (PBE).

calculated total energy = -92.81 eV per cell
relative energy among the computed polymorphs = 308 meV/atom
calculated density = 10.8 g cm⁻³

Geometry as POSCAR:
```
LuBeSiIr
1.0
6.290 0.000 0.000
0.000 6.290 0.000
0.000 0.000 6.290
Lu Be Si Ir
4 4 4 4
Cartesian
0.000 0.000 0.000
0.000 3.145 3.145
3.145 0.000 3.145
3.145 3.145 0.000
0.000 0.000 3.145
0.000 3.145 0.000
3.145 0.000 0.000
3.145 3.145 3.145
1.573 1.573 1.573
1.573 4.718 4.718
4.718 1.573 4.718
4.718 4.718 1.573
1.573 1.573 4.718
1.573 4.718 1.573
4.718 1.573 1.573
4.718 4.718 4.718
```

***

# 8
Entry from OQMD: a relaxed LuBeSiIr crystal (PBE).

calculated total energy = -97.73 eV per cell
relative energy among the computed polymorphs = 0 meV/atom
calculated density = 11.5 g cm⁻³

Geometry as POSCAR:
```
LuBeSiIr
1.0
6.160 0.000 0.000
0.000 6.160 0.000
0.000 0.000 6.160
Lu Be Si Ir
4 4 4 4
Cartesian
0.000 0.000 0.000
0.000 3.080 3.080
3.080 0.000 3.080
3.080 3.080 0.000
1.540 1.540 4.620
1.540 4.620 1.540
4.620 1.540 1.540
4.620 4.620 4.620
1.540 1.540 1.540
1.540 4.620 4.620
4.620 1.540 4.620
4.620 4.620 1.540
0.000 0.000 3.080
0.000 3.080 0.000
3.080 0.000 0.000
3.080 3.080 3.080
```

***

no.,M_tot (μB/f.u.)
1,0.39
2,0.00
3,0.00
4,0.00
5,0.00
6,0.00
7,0.00
8,0.00